[1]
This record from the Open Quantum Materials Database describes an optimized crystal structure of TbZrAsO. The functional is PBE.

Properties
Relative energy among the computed polymorphs   0.000 eV per atom
Calculated density   7.4 g/cm³

Unit cell a=4.172 b=4.172 c=8.816 alpha=90.00 beta=90.00 gamma=90.00
Element x y z (fractional)
As1 0.750 0.750 0.302
As2 0.250 0.250 0.698
O1 0.750 0.250 0.000
O2 0.250 0.750 0.000
Tb1 0.750 0.750 0.886
Tb2 0.250 0.250 0.114
Zr1 0.750 0.250 0.500
Zr2 0.250 0.750 0.500

[2]
This record from the Open Quantum Materials Database describes an optimized crystal structure of Ta3AgS5. The functional is PBE.

Properties
Calculated density   6.7 g/cm³
DFT total energy   -6.94 eV per atom

Unit cell a=5.667 b=5.667 c=7.193 alpha=90.00 beta=90.00 gamma=120.00
Element x y z (fractional)
Ta1 0.500 0.000 0.500
Ta2 0.000 0.500 0.500
Ta3 0.500 0.500 0.500
S1 0.333 0.667 0.761
S2 0.333 0.667 0.239
S3 0.667 0.333 0.761
S4 0.667 0.333 0.239
S5 0.000 0.000 0.500
Ag1 0.000 0.000 0.000

[3]
This record from the Open Quantum Materials Database describes an optimized crystal structure of MgAlAg2. The functional is PBE.

Properties
Relative energy among the computed polymorphs   0.023 eV per atom
Calculated density   6.5 g/cm³

Unit cell a=4.545 b=4.545 c=3.313 alpha=90.00 beta=90.00 gamma=90.00
Element x y z (fractional)
Ag1 0.000 0.500 0.500
Ag2 0.500 0.000 0.500
Mg1 0.500 0.500 0.000
Al1 0.000 0.000 0.000

[4]
This record from the Open Quantum Materials Database describes an optimized crystal structure of LaTaBi. The functional is PBE.

Properties
Relative energy among the computed polymorphs   0.000 eV per atom
Calculated density   9.4 g/cm³

Unit cell a=5.098 b=5.098 c=5.098 alpha=60.00 beta=60.00 gamma=60.00
Element x y z (fractional)
Bi1 0.250 0.250 0.250
Ta1 0.000 0.000 0.000
La1 0.750 0.750 0.750